! GeHSe2 (SCAN, PBEsol geometry); values from VASP
! Calculated total energy   -14.9549 eV/atom
! Crystal system   cubic
! Size of the total moment   0.00 μB per formula unit
&SYSTEM
  ibrav = 0, nat = 4, ntyp = 3
/
ATOMIC_SPECIES
Ge 72.64 Ge.upf
Se 78.96 Se.upf
H 1.01 H.upf
CELL_PARAMETERS angstrom
4.502 0.000 0.000
2.251 3.899 0.000
2.251 1.300 3.676
ATOMIC_POSITIONS crystal
Ge 0.500 0.500 0.500
Se 0.750 0.750 0.750
Se 0.250 0.250 0.250
H 0.000 0.000 0.000

! CrOs2Rh (SCAN, PBEsol geometry); values from VASP
! Calculated total energy   -48.9865 eV/atom
! Crystal system   tetragonal
! Size of the total moment   0.91 μB per formula unit
&SYSTEM
  ibrav = 0, nat = 4, ntyp = 3
/
ATOMIC_SPECIES
Rh 102.91 Rh.upf
Cr 52.00 Cr.upf
Os 190.23 Os.upf
CELL_PARAMETERS angstrom
3.753 0.000 0.000
0.000 3.753 0.000
0.000 0.000 3.756
ATOMIC_POSITIONS crystal
Rh 0.500 0.500 0.500
Cr 0.000 0.000 0.500
Os 0.500 0.000 0.000
Os 0.000 0.500 0.000

! Ca5P6Pd6 (SCAN, PBEsol geometry); values from VASP
! Calculated total energy   -19.1660 eV/atom
! Crystal system   orthorhombic
! Size of the total moment   0.00 μB per formula unit
&SYSTEM
  ibrav = 0, nat = 34, ntyp = 3
/
ATOMIC_SPECIES
P 30.97 P.upf
Pd 106.42 Pd.upf
Ca 40.08 Ca.upf
CELL_PARAMETERS angstrom
4.051 0.000 0.000
0.000 8.117 0.000
0.000 0.000 18.956
ATOMIC_POSITIONS crystal
P 0.000 0.750 0.255
Pd 0.500 0.750 0.194
P 0.000 0.250 0.257
Pd 0.500 0.000 0.000
Ca 0.500 0.992 0.318
P 0.000 0.250 0.374
P 0.500 0.750 0.072
Pd 0.500 0.750 0.802
Ca 0.000 0.500 0.500
Ca 0.000 0.002 0.870
Ca 0.500 0.508 0.318
Pd 0.000 0.750 0.999
Ca 0.000 0.502 0.130
Ca 0.500 0.492 0.682
P 0.500 0.250 0.558
Ca 0.000 0.998 0.130
P 0.000 0.750 0.626
Pd 0.500 0.750 0.567
Pd 0.000 0.750 0.379
Pd 0.500 0.250 0.806
Pd 0.500 0.250 0.198
Pd 0.000 0.250 0.621
Ca 0.000 0.498 0.870
Pd 0.500 0.500 0.000
Pd 0.000 0.250 0.001
Ca 0.000 0.000 0.500
P 0.000 0.250 0.745
P 0.500 0.250 0.928
Ca 0.500 0.008 0.682
P 0.500 0.750 0.442
P 0.500 0.250 0.075
P 0.000 0.750 0.743
Pd 0.500 0.250 0.433
P 0.500 0.750 0.925

! Tl2CdCu (SCAN, PBEsol geometry); values from VASP
! Calculated total energy   -47.2703 eV/atom
! Crystal system   tetragonal
! Size of the total moment   0.00 μB per formula unit
&SYSTEM
  ibrav = 0, nat = 4, ntyp = 3
/
ATOMIC_SPECIES
Cd 112.41 Cd.upf
Tl 204.38 Tl.upf
Cu 63.55 Cu.upf
CELL_PARAMETERS angstrom
4.064 0.000 0.000
0.000 4.642 0.000
0.000 0.000 4.642
ATOMIC_POSITIONS crystal
Cd 0.500 0.500 0.500
Tl 0.000 0.500 0.000
Tl 0.000 0.000 0.500
Cu 0.500 0.000 0.000